# 1
! La6TbNd2 PBE-GGA optimized geometry; values from VASP
! Space-group type   No. 187
! Raw total energy   -4.8027 eV per atom
! ΔE_f   0.06 eV per atom
&SYSTEM
  ibrav = 0, nat = 9, ntyp = 3
/
ATOMIC_SPECIES
La 138.91 La.upf
Tb 158.93 Tb.upf
Nd 144.24 Nd.upf
ATOMIC_POSITIONS crystal
La 0.000 0.000 0.062
La 0.000 0.000 0.281
La 0.000 0.000 0.719
La 0.000 0.000 0.938
La 0.333 0.667 0.394
La 0.333 0.667 0.606
Tb 0.000 0.000 0.500
Nd 0.333 0.667 0.170
Nd 0.333 0.667 0.830
CELL_PARAMETERS angstrom
3.687 0.000 0.000
-1.844 3.193 0.000
0.000 0.000 27.742

# 2
! La2TbNd PBE-GGA optimized geometry; values from VASP
! Space-group type   No. 123
! Raw total energy   -4.7220 eV per atom
! ΔE_f   0.09 eV per atom
&SYSTEM
  ibrav = 0, nat = 4, ntyp = 3
/
ATOMIC_SPECIES
La 138.91 La.upf
Tb 158.93 Tb.upf
Nd 144.24 Nd.upf
ATOMIC_POSITIONS crystal
La 0.000 0.000 0.239
La 0.000 0.000 0.761
Tb 0.500 0.500 0.000
Nd 0.500 0.500 0.500
CELL_PARAMETERS angstrom
4.284 0.000 0.000
0.000 4.284 0.000
0.000 0.000 7.708

# 3
! La4Tb3Nd PBE-GGA optimized geometry; values from VASP
! Space-group type   No. 31
! Raw total energy   -4.7626 eV per atom
! ΔE_f   0.03 eV per atom
&SYSTEM
  ibrav = 0, nat = 16, ntyp = 3
/
ATOMIC_SPECIES
La 138.91 La.upf
Tb 158.93 Tb.upf
Nd 144.24 Nd.upf
ATOMIC_POSITIONS crystal
La 0.000 0.128 0.000
La 0.000 0.871 0.511
La 0.246 0.125 0.333
La 0.254 0.875 0.833
La 0.500 0.129 0.011
La 0.500 0.872 0.500
La 0.746 0.875 0.833
La 0.754 0.125 0.333
Tb 0.000 0.379 0.503
Tb 0.250 0.379 0.835
Tb 0.250 0.621 0.335
Tb 0.500 0.621 0.003
Tb 0.750 0.379 0.835
Tb 0.750 0.621 0.335
Nd 0.000 0.625 0.004
Nd 0.500 0.375 0.504
CELL_PARAMETERS angstrom
11.814 0.000 0.000
0.000 7.401 0.000
0.000 0.000 6.427

# 4
! LaTb3Nd5 PBE-GGA optimized geometry; values from VASP
! Space-group type   No. 12
! Raw total energy   -4.2923 eV per atom
! ΔE_f   0.45 eV per atom
&SYSTEM
  ibrav = 0, nat = 18, ntyp = 3
/
ATOMIC_SPECIES
La 138.91 La.upf
Tb 158.93 Tb.upf
Nd 144.24 Nd.upf
ATOMIC_POSITIONS crystal
La 0.249 0.249 0.419
La 0.751 0.751 0.581
Tb 0.000 0.000 0.000
Tb 0.013 0.013 0.351
Tb 0.495 0.495 0.179
Tb 0.500 0.500 0.500
Tb 0.505 0.505 0.821
Tb 0.987 0.987 0.649
Nd 0.110 0.609 0.261
Nd 0.228 0.228 0.054
Nd 0.255 0.745 0.000
Nd 0.272 0.272 0.772
Nd 0.391 0.890 0.739
Nd 0.609 0.110 0.261
Nd 0.728 0.728 0.228
Nd 0.745 0.255 0.000
Nd 0.772 0.772 0.946
Nd 0.890 0.391 0.739
CELL_PARAMETERS angstrom
7.712 -5.877 0.000
7.712 5.877 0.000
-6.343 0.000 7.675

Taking the records one at a time from the top gives relative energy among the computed polymorphs values of 0.0; 80.3; 0.0; 177.0 meV/atom.